Material: GdDy2HoIn2
Method: DFT, PBE-GGA
State: relaxed

Output
As for the calculated total energy: -4.338 eV/atom.

```
data_GdDy2HoIn2
_space_group_name_H-M_alt 'P -6 m 2'
_space_group_IT_number 187
_space_group_name_Hall 'P -6 2'
_cell_length_a 5.3955
_cell_length_b 5.3955
_cell_length_c 6.7331
_cell_angle_alpha 90.00
_cell_angle_beta 90.00
_cell_angle_gamma 120.00
loop_
_atom_site_label
_atom_site_type_symbol
_atom_site_fract_x
_atom_site_fract_y
_atom_site_fract_z
_atom_site_occupancy
Gd1 Gd 0.0000 0.0000 0.0000 1
Dy1 Dy 0.6667 0.3333 0.2505 1
Ho1 Ho 0.3333 0.6667 0.5000 1
In1 In 0.0000 0.0000 0.5000 1
In2 In 0.3333 0.6667 0.0000 1
```

---

Material: SrErAgO3
Method: DFT, PBE-GGA
State: relaxed

Output
As for the calculated total energy: -6.305 eV/atom.

```
data_SrErAgO3
_space_group_name_H-M_alt 'C m c m'
_space_group_IT_number 63
_space_group_name_Hall '-C 2c 2'
_cell_length_a 3.576
_cell_length_b 12.672
_cell_length_c 8.701
_cell_angle_alpha 90.00
_cell_angle_beta 90.00
_cell_angle_gamma 90.00
loop_
_atom_site_label
_atom_site_type_symbol
_atom_site_fract_x
_atom_site_fract_y
_atom_site_fract_z
_atom_site_occupancy
Sr1 Sr 0.000 0.178 0.250 1
Er1 Er 0.000 0.500 0.000 1
Ag1 Ag 0.000 0.116 0.750 1
O1 O 0.000 0.114 0.514 1
O2 O 0.000 0.449 0.750 1
```

---

Material: Ba2Cd3O4F2
Method: DFT, PBE-GGA
State: relaxed

Output
As for the calculated total energy: -4.587 eV/atom.

```
data_Ba2Cd3O4F2
_space_group_name_H-M_alt 'I 4/m m m'
_space_group_IT_number 139
_space_group_name_Hall '-I 4 2'
_cell_length_a 6.134
_cell_length_b 6.134
_cell_length_c 10.335
_cell_angle_alpha 90.00
_cell_angle_beta 90.00
_cell_angle_gamma 90.00
loop_
_atom_site_label
_atom_site_type_symbol
_atom_site_fract_x
_atom_site_fract_y
_atom_site_fract_z
_atom_site_occupancy
Ba1 Ba 0.000 0.000 0.174 1
Cd1 Cd 0.000 0.000 0.500 1
Cd2 Cd 0.000 0.500 0.000 1
O1 O 0.241 0.241 0.000 1
F1 F 0.000 0.500 0.250 1
```

---

> Which formula does entry 3 have?

Ba2Cd3O4F2

---

> Among the records above, which one has the highest calculated total energy?

GdDy2HoIn2